RbBe2F: optimized geometry, GGA-PBE.

```
RbBe2F
1.0
-2.5963 2.5881 -1.8978
-2.6841 -3.0893 -0.5409
-7.0863 2.0081 7.9436
Be Rb F
4 2 2
direct
0.3750 0.1250 0.2500
0.3750 0.6250 0.2500
0.3750 0.6250 0.7500
0.8750 0.6250 0.7500
0.0000 0.0000 0.0000
0.7500 0.2500 0.5000
0.5000 0.5000 0.0000
0.2500 0.7500 0.5000
```

Properties
- Relative energy among the computed polymorphs: 0.00 eV/f.u.
- Space-group type: I4_1/amd, No. 141
- Crystal system: tetragonal